Density functional theory data (PBE) for crystalline Mn3In2Cl8 at its relaxed geometry.

Electronic total energy (eV for the cell shown): -121.60
V (Å³ per cell): 738.9
Energy relative to the elements, uncorrected (eV/atom): -1.00

Cell: 15.5093 7.6291 6.5596 Å, 90.00 107.81 90.00°
With the nearest neighbours (Å) after each atom.
Space group C2/m (No. 12)
Symmetry-distinct sites (fractional):
Mn: 0.0000 0.0000 0.0000 x2  6 Cl 2.53-2.57
Mn: 0.0000 0.2578 0.5000 x4  6 Cl 2.52-2.65
In: 0.2229 0.5000 0.1626 x4  4 Cl 3.04-3.37
Cl: 0.0940 0.0000 0.3984 x4  3 Mn 2.57-2.65
Cl: 0.0939 0.2301 0.8891 x8  2 Mn 2.53
Cl: 0.1015 0.5000 0.4491 x4  2 Mn 2.52